NiOsW2 | SCAN | PBEsol geometry

POSCAR file:
```
NiOsW2
1.0
2.717 0.000 0.000
0.000 2.717 0.000
0.000 0.000 7.583
Ni Os W
1 1 2
Direct
0.000 0.000 0.000
0.000 0.000 0.500
0.500 0.500 0.242
0.500 0.500 0.758
```

Values from the calculation:
E_form = 2.47 kcal/mol of atoms
total moment = 0.00 Bohr magnetons per cell
polymorph energy (0 for the lowest one) = 0.43 eV per formula unit